Record 1
Here is a relaxed structure of ZnAg2HPt from the Alexandria database. Energies are from GGA-PBE.

Cell lengths 4.243, 4.243, 3.828 Å; angles 90.00, 90.00, 90.00 degrees
Positions (direct):
Zn: 0.000 0.000 0.000
Ag: 0.000 0.500 0.500
Ag: 0.500 0.000 0.500
H: 0.500 0.500 0.500
Pt: 0.500 0.500 0.000

Values from the calculation:
E, eV per atom: -3.267



Record 2
Here is a relaxed structure of ZnAgHPt2 from the Alexandria database. Energies are from GGA-PBE.

Cell lengths 4.006, 4.006, 4.110 Å; angles 90.00, 90.00, 90.00 degrees
Positions (direct):
Zn: 0.000 0.000 0.000
Ag: 0.500 0.500 0.000
H: 0.500 0.500 0.500
Pt: 0.000 0.500 0.500
Pt: 0.500 0.000 0.500

Values from the calculation:
Relative energy among the computed polymorphs, eV/atom: 0.0000



Record 3
Here is a relaxed structure of ZrAgHPt2 from the Alexandria database. Energies are from GGA-PBE.

Cell lengths 4.119, 4.119, 4.260 Å; angles 90.00, 90.00, 90.00 degrees
Positions (direct):
Zr: 0.000 0.000 0.000
Ag: 0.500 0.500 0.000
H: 0.000 0.000 0.500
Pt: 0.000 0.500 0.500
Pt: 0.500 0.000 0.500

Values from the calculation:
E, eV per atom: -5.646



| no. | total moment (μB per formula unit) |
| --- | --- |
| 1 | 0.0 |
| 2 | 0.0 |
| 3 | 0.0 |